Entry 1:
Computed, not measured: crystalline MgCu2Tc at its relaxed geometry at the PBE-GGA level of DFT.

Output
- formation energy (eV per atom) = 0.34

a b c (Å): 4.3148 4.3148 4.3148
angles (deg): 60.00 60.00 60.00
With the nearest neighbours (Å) after each atom.
Atoms (fractional coordinates):
1 Cu 0.7500 0.7500 0.7500  4 Mg 2.64, 4 Cu 2.64
2 Tc 0.2500 0.2500 0.2500  4 Mg 2.64, 4 Cu 2.64
3 Mg 0.5000 0.5000 0.5000  4 Cu 2.64, 4 Tc 2.64
4 Cu 0.0000 0.0000 0.0000  4 Cu 2.64, 4 Tc 2.64

Entry 2:
Computed, not measured: crystalline PmAgTe3 at its relaxed geometry at the PBE-GGA level of DFT.

Output
- E_form (uncorrected) (eV/atom) = -0.58

a b c (Å): 5.8772 8.8503 8.1213
angles (deg): 123.02 111.21 90.00
With the nearest neighbours (Å) after each atom.
Atoms (fractional coordinates):
1 Te 0.5721 0.4355 0.1443  1 Ag 2.86, 1 Te 3.00
2 Te 0.2500 0.8601 0.5000  3 Ag 2.81-2.96
3 Te 0.7500 0.1399 0.5000  3 Ag 2.81-2.96
4 Ag 0.2500 0.1778 0.5000  5 Te 2.81-2.96
5 Pm 0.5000 0.0000 0.0000  8 Te 3.22-3.34
6 Te 0.9279 0.7912 0.8557  1 Ag 2.86, 1 Te 3.00
7 Pm 0.0000 0.5000 0.0000  8 Te 3.22-3.34
8 Te 0.4279 0.5645 0.8557  1 Ag 2.86, 1 Te 3.00
9 Ag 0.7500 0.8222 0.5000  5 Te 2.81-2.96
10 Te 0.0721 0.2088 0.1443  1 Ag 2.86, 1 Te 3.00

Entry 3:
Computed, not measured: crystalline Ba2Sn3Hg6 at its relaxed geometry at the PBE-GGA level of DFT.

Output
- formation energy (eV per atom) = -0.31

a b c (Å): 5.1471 8.7539 8.7539
angles (deg): 120.00 90.00 90.00
With the nearest neighbours (Å) after each atom.
Atoms (fractional coordinates):
1 Ba 0.0000 0.3333 0.6667  9 Hg 3.68-3.96, 6 Sn 3.83
2 Sn 0.5000 0.0000 0.6467  5 Hg 2.92-2.93
3 Hg 0.0000 0.0000 0.8050  2 Sn 2.92, 2 Hg 2.96
4 Hg 0.5000 0.0000 0.3135  3 Sn 2.92-2.93
5 Hg 0.5000 0.3135 0.0000  3 Sn 2.92-2.93
6 Sn 0.5000 0.6467 0.0000  5 Hg 2.92-2.93
7 Hg 0.0000 0.1950 0.1950  2 Sn 2.92, 2 Hg 2.96
8 Hg 0.0000 0.8050 0.0000  2 Sn 2.92, 2 Hg 2.96
9 Hg 0.5000 0.6865 0.6865  3 Sn 2.92-2.93
10 Ba 0.0000 0.6667 0.3333  9 Hg 3.68-3.96, 6 Sn 3.83
11 Sn 0.5000 0.3533 0.3533  5 Hg 2.92-2.93

Entry 4:
Computed, not measured: crystalline LaCo3Cl at its relaxed geometry at the PBE-GGA level of DFT.

Output
- E_form (uncorrected) (eV/atom) = 0.42

a b c (Å): 4.3131 4.3131 4.3131
angles (deg): 90.00 90.00 90.00
With the nearest neighbours (Å) after each atom.
Atoms (fractional coordinates):
1 Co 0.5000 0.0000 0.0000  2 Cl 2.16
2 Co 0.0000 0.5000 0.0000  2 Cl 2.16
3 La 0.5000 0.5000 0.5000  12 Co 3.05
4 Co 0.0000 0.0000 0.5000  2 Cl 2.16
5 Cl 0.0000 0.0000 0.0000  6 Co 2.16

Entry 5:
Computed, not measured: crystalline Li3Gd at its relaxed geometry at the PBE-GGA level of DFT.

Output
- formation energy (eV per atom) = 0.16

a b c (Å): 3.2148 5.2643 5.6642
angles (deg): 90.00 90.00 90.00
With the nearest neighbours (Å) after each atom.
Atoms (fractional coordinates):
1 Gd 0.0000 0.5000 0.3296  2 Gd 3.21, 10 Li 3.23-3.29
2 Li 0.5000 0.0000 0.5324  6 Li 3.00-3.21, 4 Gd 3.29
3 Li 0.0000 0.0000 0.9799  8 Li 3.00-3.21, 2 Gd 3.29
4 Li 0.5000 0.5000 0.8247  8 Li 3.11-3.21, 4 Gd 3.23-3.28

Entry 6:
Computed, not measured: crystalline Cd3H12Pd5 at its relaxed geometry at the PBE-GGA level of DFT.

Output
- total energy (eV per atom) = -3.34

a b c (Å): 10.1054 10.1054 10.1054
angles (deg): 109.47 109.47 109.47
With the nearest neighbours (Å) after each atom.
Atoms (fractional coordinates):
1 Pd 0.2500 0.3750 0.6250  4 H 1.76
2 Pd 0.6250 0.7500 0.8750  4 H 1.76
3 H 0.1854 0.6690 0.0648  2 Pd 1.76-1.78
4 Pd 0.8750 0.2500 0.6250  4 H 1.76
5 Pd 0.0000 0.0000 0.0000  6 H 1.78
6 Pd 0.6250 0.8750 0.2500  4 H 1.76
7 Pd 0.8750 0.6250 0.7500  4 H 1.76
8 H 0.8310 0.9352 0.3146  2 Pd 1.76-1.78
9 H 0.1042 0.9352 0.1205  2 Pd 1.76-1.78
10 H 0.0164 0.6205 0.6854  2 Pd 1.76-1.78
11 H 0.1854 0.5164 0.6205  2 Pd 1.76-1.78
12 H 0.8146 0.4836 0.3795  2 Pd 1.76-1.78
13 Pd 0.3750 0.1250 0.7500  4 H 1.76
14 H 0.9836 0.6042 0.1690  2 Pd 1.76-1.78
15 H 0.9836 0.3795 0.3146  2 Pd 1.76-1.78
16 Cd 0.8750 0.7500 0.1250  4 H 2.18
17 Pd 0.3750 0.2500 0.1250  4 H 1.76
18 Pd 0.1250 0.3750 0.2500  4 H 1.76
19 Pd 0.5000 0.5000 0.0000  6 H 1.78
20 H 0.0648 0.8958 0.3795  2 Pd 1.76-1.78
21 Pd 0.5000 0.0000 0.0000  6 H 1.78
22 Cd 0.3750 0.7500 0.6250  4 H 2.18
23 H 0.5648 0.6854 0.6690  2 Pd 1.76-1.78
24 H 0.3958 0.0164 0.3310  2 Pd 1.76-1.78
25 H 0.6854 0.1205 0.0164  2 Pd 1.76-1.78
26 H 0.8958 0.0648 0.8795  2 Pd 1.76-1.78
27 H 0.3958 0.3795 0.5648  2 Pd 1.76-1.78
28 H 0.9352 0.1042 0.6205  2 Pd 1.76-1.78
29 H 0.1205 0.4352 0.1042  2 Pd 1.76-1.78
30 H 0.8795 0.3146 0.4836  2 Pd 1.76-1.78
31 Pd 0.0000 0.5000 0.0000  6 H 1.78
32 H 0.6042 0.9836 0.6690  2 Pd 1.76-1.78
33 Cd 0.8750 0.1250 0.2500  4 H 2.18
34 H 0.3310 0.8146 0.4352  2 Pd 1.76-1.78
35 Pd 0.5000 0.0000 0.5000  6 H 1.78
36 H 0.6205 0.6042 0.9352  2 Pd 1.76-1.78
37 H 0.5164 0.1854 0.1205  2 Pd 1.76-1.78
38 Cd 0.3750 0.6250 0.2500  4 H 2.18
39 Cd 0.6250 0.2500 0.3750  4 H 2.18
40 Pd 0.2500 0.8750 0.1250  4 H 1.76
41 H 0.1205 0.6854 0.5164  2 Pd 1.76-1.78
42 H 0.1690 0.1042 0.9836  2 Pd 1.76-1.78
43 Pd 0.7500 0.1250 0.8750  4 H 1.76
44 H 0.3146 0.8795 0.9836  2 Pd 1.76-1.78
45 H 0.6690 0.4836 0.6042  2 Pd 1.76-1.78
46 H 0.8958 0.8310 0.5164  2 Pd 1.76-1.78
47 H 0.6205 0.0164 0.1854  2 Pd 1.76-1.78
48 H 0.4836 0.8146 0.8795  2 Pd 1.76-1.78
49 H 0.0648 0.1690 0.1854  2 Pd 1.76-1.78
50 H 0.6854 0.5648 0.1690  2 Pd 1.76-1.78
51 Cd 0.6250 0.3750 0.7500  4 H 2.18
52 H 0.3146 0.4352 0.8310  2 Pd 1.76-1.78
53 Cd 0.7500 0.8750 0.6250  4 H 2.18
54 H 0.6690 0.1854 0.5648  2 Pd 1.76-1.78
55 H 0.8146 0.3310 0.9352  2 Pd 1.76-1.78
56 H 0.5648 0.8795 0.3958  2 Pd 1.76-1.78
57 H 0.8795 0.5648 0.8958  2 Pd 1.76-1.78
58 H 0.5164 0.3310 0.8958  2 Pd 1.76-1.78
59 H 0.1042 0.1690 0.4836  2 Pd 1.76-1.78
60 H 0.0164 0.3958 0.8310  2 Pd 1.76-1.78
61 H 0.1690 0.0648 0.6854  2 Pd 1.76-1.78
62 Pd 0.0000 0.0000 0.5000  6 H 1.78
63 H 0.6042 0.6205 0.4352  2 Pd 1.76-1.78
64 Pd 0.1250 0.7500 0.3750  4 H 1.76
65 Cd 0.1250 0.8750 0.7500  4 H 2.18
66 Cd 0.1250 0.2500 0.8750  4 H 2.18
67 Cd 0.2500 0.1250 0.3750  4 H 2.18
68 Pd 0.5000 0.5000 0.5000  6 H 1.78
69 H 0.4352 0.3146 0.3310  2 Pd 1.76-1.78
70 H 0.4352 0.1205 0.6042  2 Pd 1.76-1.78
71 H 0.9352 0.8310 0.8146  2 Pd 1.76-1.78
72 H 0.3795 0.9836 0.8146  2 Pd 1.76-1.78
73 H 0.3310 0.5164 0.3958  2 Pd 1.76-1.78
74 Pd 0.7500 0.6250 0.3750  4 H 1.76
75 Pd 0.0000 0.5000 0.5000  6 H 1.78
76 Cd 0.2500 0.6250 0.8750  4 H 2.18
77 H 0.8310 0.8958 0.0164  2 Pd 1.76-1.78
78 H 0.4836 0.6690 0.1042  2 Pd 1.76-1.78
79 Cd 0.7500 0.3750 0.1250  4 H 2.18
80 H 0.3795 0.3958 0.0648  2 Pd 1.76-1.78

Entry 7:
Computed, not measured: crystalline TeAsSeBr2 at its relaxed geometry at the PBE-GGA level of DFT.

Output
- E_form (uncorrected) (eV/atom) = 0.51

a b c (Å): 5.0367 5.0367 5.8137
angles (deg): 90.00 90.00 90.00
With the nearest neighbours (Å) after each atom.
Atoms (fractional coordinates):
1 Se 0.0000 0.0000 0.0000  4 Br 2.52
2 Br 0.5000 0.0000 0.0000  2 Se 2.52
3 Te 0.5000 0.5000 0.5000  4 As 3.56, 8 Br 3.85
4 Br 0.0000 0.5000 0.0000  2 Se 2.52
5 As 0.0000 0.0000 0.5000  2 Se 2.91

Entry 8:
Computed, not measured: crystalline Mn2Cr2H3 at its relaxed geometry at the PBE-GGA level of DFT.

Output
- total energy (eV per atom) = -6.80

a b c (Å): 2.6315 4.5569 4.5603
angles (deg): 100.16 106.77 90.00
With the nearest neighbours (Å) after each atom.
Atoms (fractional coordinates):
1 H 0.0000 0.0000 0.0000  2 Mn 1.83, 4 Cr 1.88
2 H 0.2531 0.7488 0.5062  3 Cr 1.87-1.90, 3 Mn 1.87-1.88
3 Mn 0.8806 0.6263 0.7611  4 H 1.83-1.88
4 H 0.7469 0.2512 0.4938  3 Cr 1.87-1.90, 3 Mn 1.87-1.88
5 Cr 0.6231 0.8617 0.2462  5 H 1.87-1.90
6 Mn 0.1194 0.3737 0.2389  4 H 1.83-1.88
7 Cr 0.3769 0.1383 0.7538  5 H 1.87-1.90

Entry 9:
Computed, not measured: crystalline Ce2AsRh3 at its relaxed geometry at the PBE-GGA level of DFT.

Output
- formation energy (eV per atom) = -0.88

a b c (Å): 5.1456 5.1456 5.1456
angles (deg): 65.79 65.79 65.79
With the nearest neighbours (Å) after each atom.
Atoms (fractional coordinates):
1 Rh 0.0000 0.0000 0.5000  2 As 2.57, 4 Rh 2.79
2 As 0.0000 0.0000 0.0000  6 Rh 2.57
3 Rh 0.0000 0.5000 0.0000  2 As 2.57, 4 Rh 2.79
4 Ce 0.3807 0.3807 0.3807  1 Ce 2.87, 9 Rh 3.04-3.14
5 Rh 0.5000 0.0000 0.0000  2 As 2.57, 4 Rh 2.79
6 Ce 0.6193 0.6193 0.6193  1 Ce 2.87, 9 Rh 3.04-3.14

Entry 10:
Computed, not measured: crystalline Sr8InAu2N at its relaxed geometry at the PBE-GGA level of DFT.

Output
- E_form (uncorrected) (eV/atom) = -0.41

a b c (Å): 7.2915 7.0860 9.2234
angles (deg): 89.95 89.99 88.05
With the nearest neighbours (Å) after each atom.
Atoms (fractional coordinates):
1 Au 0.5000 0.5002 0.2274  6 Sr 3.14-3.24
2 Sr 0.1642 0.7880 0.7969  1 N 2.66
3 Sr 0.2854 0.2383 0.0003  1 N 2.72
4 In 0.0000 0.0000 0.5000  6 Sr 3.27-3.33
5 Sr 0.6520 0.7214 0.4999  2 Au 3.18, 1 In 3.27
6 Sr 0.1634 0.7875 0.2033  1 N 2.66
7 Sr 0.8366 0.2125 0.7967  1 N 2.66
8 N 0.0000 0.0000 0.0000  6 Sr 2.66-2.72
9 Sr 0.7146 0.7617 0.9997  1 N 2.72
10 Sr 0.3480 0.2786 0.5001  2 Au 3.18, 1 In 3.27
11 Sr 0.8358 0.2120 0.2031  1 N 2.66
12 Au 0.5000 0.4998 0.7726  6 Sr 3.14-3.24

Entry 11:
Computed, not measured: crystalline Tb6PmSc6 at its relaxed geometry at the PBE-GGA level of DFT.

Output
- formation energy (eV per atom) = 0.20

a b c (Å): 6.3326 6.3326 10.6976
angles (deg): 90.00 90.00 115.97
With the nearest neighbours (Å) after each atom.
Atoms (fractional coordinates):
1 Tb 0.0000 0.0000 0.6652  6 Sc 3.36-3.40, 3 Tb 3.54, 1 Pm 3.58
2 Tb 0.2851 0.7149 0.5000  6 Sc 3.24-3.38, 4 Tb 3.44-3.54
3 Tb 0.6478 0.3522 0.0000  6 Sc 3.16-3.46, 1 Tb 3.17
4 Sc 0.5000 0.0000 0.7716  6 Tb 3.16-3.38, 4 Sc 3.23-3.36
5 Tb 0.7149 0.2851 0.5000  6 Sc 3.24-3.38, 4 Tb 3.44-3.54
6 Sc 0.5000 0.5000 0.7130  4 Sc 3.23, 6 Tb 3.24-3.46
7 Sc 0.5000 0.0000 0.2284  6 Tb 3.16-3.38, 4 Sc 3.23-3.36
8 Sc 0.0000 0.5000 0.2284  6 Tb 3.16-3.38, 4 Sc 3.23-3.36
9 Tb 0.0000 0.0000 0.3348  6 Sc 3.36-3.40, 3 Tb 3.54, 1 Pm 3.58
10 Pm 0.0000 0.0000 0.0000  8 Tb 3.58-3.78, 8 Sc 4.00
11 Tb 0.3522 0.6478 0.0000  6 Sc 3.16-3.46, 1 Tb 3.17
12 Sc 0.5000 0.5000 0.2870  4 Sc 3.23, 6 Tb 3.24-3.46
13 Sc 0.0000 0.5000 0.7716  6 Tb 3.16-3.38, 4 Sc 3.23-3.36

Entry 12:
Computed, not measured: crystalline NdYC at its relaxed geometry at the PBE-GGA level of DFT.

Output
- formation energy (eV per atom) = -0.17

a b c (Å): 6.4979 3.6348 3.6348
angles (deg): 120.00 90.00 90.00
With the nearest neighbours (Å) after each atom.
Atoms (fractional coordinates):
1 C 0.3249 0.3333 0.6667  3 Y 2.47, 3 Nd 2.56
2 Y 0.1244 0.0000 0.0000  3 C 2.47
3 Nd 0.5507 0.6667 0.3333  3 C 2.56

Entry 13:
Computed, not measured: crystalline LiRe2PdSe at its relaxed geometry at the PBE-GGA level of DFT.

Output
- E_form (uncorrected) (eV/atom) = 1.24

a b c (Å): 4.5791 4.7292 4.5791
angles (deg): 90.00 90.00 90.00
With the nearest neighbours (Å) after each atom.
Atoms (fractional coordinates):
1 Li 0.5000 0.5000 0.5000  4 Pd 3.24, 8 Re 3.29
2 Se 0.0000 0.0000 0.0000  4 Re 2.29, 2 Pd 2.36
3 Pd 0.0000 0.5000 0.0000  2 Se 2.36
4 Re 0.0000 0.0000 0.5000  2 Se 2.29
5 Re 0.5000 0.0000 0.0000  2 Se 2.29

Entry 14:
Computed, not measured: crystalline La6Al2N at its relaxed geometry at the PBE-GGA level of DFT.

Output
- E_form (uncorrected) (eV/atom) = -0.31

a b c (Å): 3.6015 9.0754 8.8248
angles (deg): 120.94 90.00 90.00
With the nearest neighbours (Å) after each atom.
Atoms (fractional coordinates):
1 Al 0.0000 0.3117 0.6484  8 La 3.21-3.54
2 La 0.5000 0.3861 0.3938  1 N 3.21, 4 Al 3.21-3.27, 2 La 3.53
3 La 0.5000 0.5617 0.0000  4 Al 3.28, 4 La 3.34-3.60
4 La 0.0000 0.7891 0.8031  2 N 2.81, 1 La 2.98
5 Al 0.0000 0.6633 0.3516  8 La 3.21-3.54
6 N 0.5000 0.0586 0.0000  6 La 2.51-2.81
7 La 0.5000 0.9922 0.6062  1 N 3.21, 4 Al 3.21-3.27, 2 La 3.53
8 La 0.0000 0.2513 0.0000  2 N 2.51
9 La 0.0000 0.9860 0.1969  2 N 2.81, 1 La 2.98

In order of appearance, M_tot = 2.1; 0.0; 0.0; 1.1; 7.7; 0.0; 0.3; 1.5; 0.1; 0.0; 0.0; 0.0; 1.4; 0.0 Bohr magnetons per cell.